# SCAN LaCrPt, single point on PBEsol structure
# Fermi-level density of states in states/eV per cell: 1.223
# Distance to the lowest polymorph of the same formula in kJ/mol of atoms: 0.0
# Energy of formation from the pure elements in eV/atom: -0.512
data_LaCrPt
_space_group_name_H-M_alt 'P 1'
_space_group_IT_number 1
_cell_length_a 4.7063
_cell_length_b 4.7063
_cell_length_c 4.7063
_cell_angle_alpha 60.00
_cell_angle_beta 60.00
_cell_angle_gamma 60.00
loop_
_space_group_symop_operation_xyz
'x,y,z'
loop_
_atom_site_label
_atom_site_type_symbol
_atom_site_fract_x
_atom_site_fract_y
_atom_site_fract_z
La1 La 0.5000 0.5000 0.5000
Cr1 Cr 0.0000 0.0000 0.0000
Pt1 Pt 0.7500 0.7500 0.7500

# SCAN RbLa3Cr, single point on PBEsol structure
# Fermi-level density of states in states/eV per cell: 5.050
# Energy of formation from the pure elements in eV/atom: 1.273
data_RbLa3Cr
_space_group_name_H-M_alt 'P 1'
_space_group_IT_number 1
_cell_length_a 5.5848
_cell_length_b 5.5848
_cell_length_c 5.5848
_cell_angle_alpha 90.00
_cell_angle_beta 90.00
_cell_angle_gamma 90.00
loop_
_space_group_symop_operation_xyz
'x,y,z'
loop_
_atom_site_label
_atom_site_type_symbol
_atom_site_fract_x
_atom_site_fract_y
_atom_site_fract_z
La1 La 0.5000 0.0000 0.0000
La2 La 0.0000 0.0000 0.5000
La3 La 0.0000 0.5000 0.0000
Cr1 Cr 0.5000 0.5000 0.5000
Rb1 Rb 0.0000 0.0000 0.0000

# SCAN La2CrRe, single point on PBEsol structure
# Fermi-level density of states in states/eV per cell: 4.076
# Distance to the lowest polymorph of the same formula in kJ/mol of atoms: 0.0
# Energy of formation from the pure elements in eV/atom: 0.351
data_La2CrRe
_space_group_name_H-M_alt 'P 1'
_space_group_IT_number 1
_cell_length_a 3.1065
_cell_length_b 3.8627
_cell_length_c 7.8891
_cell_angle_alpha 90.00
_cell_angle_beta 96.26
_cell_angle_gamma 90.00
loop_
_space_group_symop_operation_xyz
'x,y,z'
loop_
_atom_site_label
_atom_site_type_symbol
_atom_site_fract_x
_atom_site_fract_y
_atom_site_fract_z
Cr1 Cr 0.4344 0.5000 0.6751
La1 La 0.6207 0.5000 0.3290
La2 La 0.8694 0.0000 0.9203
Re1 Re 0.0755 0.0000 0.5756

> Which of these has the highest energy of formation from the pure elements?

RbLa3Cr

> The lowest Fermi-level density of states belongs to which entry?

LaCrPt

> Among the records above, which one has the highest energy of formation from the pure elements?

RbLa3Cr

Please write out number 1 again, unchanged.
# SCAN LaCrPt, single point on PBEsol structure
# Fermi-level density of states in states/eV per cell: 1.223
# Distance to the lowest polymorph of the same formula in kJ/mol of atoms: 0.0
# Energy of formation from the pure elements in eV/atom: -0.512
data_LaCrPt
_space_group_name_H-M_alt 'P 1'
_space_group_IT_number 1
_cell_length_a 4.7063
_cell_length_b 4.7063
_cell_length_c 4.7063
_cell_angle_alpha 60.00
_cell_angle_beta 60.00
_cell_angle_gamma 60.00
loop_
_space_group_symop_operation_xyz
'x,y,z'
loop_
_atom_site_label
_atom_site_type_symbol
_atom_site_fract_x
_atom_site_fract_y
_atom_site_fract_z
La1 La 0.5000 0.5000 0.5000
Cr1 Cr 0.0000 0.0000 0.0000
Pt1 Pt 0.7500 0.7500 0.7500